Entry 1:
HfAs3Ir: PBEsol geometry, SCAN.

Lattice parameters (Å, degrees): 4.7488 4.7488 4.7488 90.00 90.00 90.00
Atoms (fractional coordinates):
1 Hf 0.0000 0.0000 0.0000
2 As 0.0000 0.5000 0.5000
3 As 0.5000 0.0000 0.5000
4 As 0.5000 0.5000 0.0000
5 Ir 0.5000 0.5000 0.5000

Output
Formation energy from the elements ... 0.6452 eV/atom
Total magnetization ... 0.00 μB per atom
Fermi-level density of states ... 5.72 states/eV/cell
SG ... Pm-3m
E ... -38.224 eV per atom

---

Entry 2:
NaHfAsIr2: PBEsol geometry, SCAN.

Lattice parameters (Å, degrees): 4.6025 4.6025 4.8652 90.00 90.00 90.00
Atoms (fractional coordinates):
1 Na 0.0000 0.0000 0.0000
2 Hf 0.5000 0.5000 0.0000
3 As 0.5000 0.5000 0.5000
4 Ir 0.0000 0.5000 0.5000
5 Ir 0.5000 0.0000 0.5000

Output
Formation energy from the elements ... 0.6034 eV/atom
Total magnetization ... 0.00 μB per atom
Fermi-level density of states ... 5.15 states/eV/cell
SG ... P4/mmm
E ... -45.252 eV per atom

---

Entry 3:
KHfAs2Rh: PBEsol geometry, SCAN.

Lattice parameters (Å, degrees): 5.0601 5.0601 4.3792 90.00 90.00 90.00
Atoms (fractional coordinates):
1 K 0.0000 0.0000 0.0000
2 Hf 0.5000 0.5000 0.5000
3 As 0.0000 0.5000 0.0000
4 As 0.5000 0.0000 0.0000
5 Rh 0.0000 0.0000 0.5000

Output
Formation energy from the elements ... 1.7403 eV/atom
Total magnetization ... 0.00 μB per atom
Fermi-level density of states ... 3.89 states/eV/cell
SG ... P4/mmm
E ... -27.291 eV per atom

---

Entry 4:
KHfAs2Se: PBEsol geometry, SCAN.

Lattice parameters (Å, degrees): 5.1538 5.1538 5.1809 90.00 90.00 90.00
Atoms (fractional coordinates):
1 K 0.0000 0.0000 0.0000
2 Hf 0.5000 0.5000 0.5000
3 As 0.0000 0.5000 0.5000
4 As 0.5000 0.0000 0.5000
5 Se 0.5000 0.5000 0.0000

Output
ΔE_f (raw) ... -551 meV/atom
Total magnetization ... 0.00 μB per atom
Fermi-level density of states ... 4.40 states/eV/cell
SG ... P4/mmm
E ... -26.843 eV per atom

---

Number 3 is which compound? KHfAs2Rh

---

What did the second record say?
NaHfAsIr2: PBEsol geometry, SCAN.

Lattice parameters (Å, degrees): 4.6025 4.6025 4.8652 90.00 90.00 90.00
Atoms (fractional coordinates):
1 Na 0.0000 0.0000 0.0000
2 Hf 0.5000 0.5000 0.0000
3 As 0.5000 0.5000 0.5000
4 Ir 0.0000 0.5000 0.5000
5 Ir 0.5000 0.0000 0.5000

Output
Formation energy from the elements ... 0.6034 eV/atom
Total magnetization ... 0.00 μB per atom
Fermi-level density of states ... 5.15 states/eV/cell
SG ... P4/mmm
E ... -45.252 eV per atom